[1]
! BaAg2AsS4 | the Alexandria database | PBE-GGA | relaxed; values from VASP
&SYSTEM
  ibrav = 0, nat = 8, ntyp = 4
/
ATOMIC_SPECIES
Ba 137.33 Ba.upf
Ag 107.87 Ag.upf
As 74.92 As.upf
S 32.06 S.upf
CELL_PARAMETERS angstrom
-3.3610 3.6229 4.1237
3.3610 -3.6229 4.1237
3.3610 3.6229 -4.1237
ATOMIC_POSITIONS angstrom
Ba 0.0000 0.0000 0.0000
Ag 3.3610 0.0000 2.5565
Ag 0.0000 3.6229 1.5673
As 0.0000 0.0000 4.1237
S 2.0504 2.2466 -1.3893
S 1.3106 -1.3762 5.5131
S 1.3106 1.3762 2.7344
S 2.0504 4.9991 1.3893
! Density of states at the Fermi level   5.0 states/eV per cell
! Mass density   4.6 g/cm³
! E_tot   -4.158 eV per atom
! Uncorrected formation energy   -0.560 eV/atom

=====

[2]
! Ba3AgAs2S8 | the Alexandria database | PBE-GGA | relaxed; values from VASP
&SYSTEM
  ibrav = 0, nat = 14, ntyp = 4
/
ATOMIC_SPECIES
Ba 137.33 Ba.upf
Ag 107.87 Ag.upf
As 74.92 As.upf
S 32.06 S.upf
CELL_PARAMETERS angstrom
6.9893 0.0000 0.0000
-3.4946 6.0529 0.0000
0.0000 0.0000 8.9767
ATOMIC_POSITIONS angstrom
Ba 0.0000 0.0000 0.0000
Ba 0.0000 4.0353 5.5758
Ba 3.4946 2.0176 3.4010
Ag 0.0000 0.0000 4.4884
As 0.0000 4.0353 1.8231
As 3.4946 2.0176 7.1536
S 0.0000 1.9847 2.7606
S -1.7758 5.0605 2.7606
S 1.7188 0.9924 6.2162
S 0.0000 4.0353 8.6289
S 3.4946 2.0176 0.3478
S 1.7758 5.0605 2.7606
S 5.2705 0.9924 6.2162
S 3.4946 4.0682 6.2162
! Density of states at the Fermi level   2.3 states/eV per cell
! Mass density   4.0 g/cm³
! E_tot   -4.560 eV per atom
! Uncorrected formation energy   -0.922 eV/atom

=====

[3]
! Ba2Ag4SbAs3 | the Alexandria database | PBE-GGA | relaxed; values from VASP
&SYSTEM
  ibrav = 0, nat = 10, ntyp = 4
/
ATOMIC_SPECIES
Ba 137.33 Ba.upf
Ag 107.87 Ag.upf
Sb 121.76 Sb.upf
As 74.92 As.upf
CELL_PARAMETERS angstrom
4.6749 0.0000 0.0000
0.0000 4.6749 0.0000
0.0000 0.0000 11.4230
ATOMIC_POSITIONS angstrom
Ba 0.0000 2.3374 2.7071
Ba 2.3374 0.0000 8.7159
Ag 0.0000 0.0000 0.0000
Ag 0.0000 2.3374 7.3004
Ag 2.3374 0.0000 4.1225
Ag 2.3374 2.3374 0.0000
Sb 0.0000 0.0000 5.7115
As 0.0000 2.3374 9.9313
As 2.3374 0.0000 1.4917
As 2.3374 2.3374 5.7115
! Density of states at the Fermi level   4.8 states/eV per cell
! Mass density   7.0 g/cm³
! E_tot   -3.803 eV per atom
! Uncorrected formation energy   -0.471 eV/atom

=====

[4]
! Ba2Ag4Sb3As | the Alexandria database | PBE-GGA | relaxed; values from VASP
&SYSTEM
  ibrav = 0, nat = 10, ntyp = 4
/
ATOMIC_SPECIES
Ba 137.33 Ba.upf
Ag 107.87 Ag.upf
Sb 121.76 Sb.upf
As 74.92 As.upf
CELL_PARAMETERS angstrom
4.8634 0.0000 0.0000
0.0000 4.8634 0.0000
0.0000 0.0000 11.4077
ATOMIC_POSITIONS angstrom
Ba 0.0000 2.4317 2.8227
Ba 2.4317 0.0000 8.5850
Ag 0.0000 0.0000 5.7039
Ag 0.0000 2.4317 10.0099
Ag 2.4317 0.0000 1.3978
Ag 2.4317 2.4317 5.7039
Sb 0.0000 0.0000 0.0000
Sb 0.0000 2.4317 7.2322
Sb 2.4317 0.0000 4.1755
As 2.4317 2.4317 0.0000
! Density of states at the Fermi level   3.8 states/eV per cell
! Mass density   7.1 g/cm³
! E_tot   -3.711 eV per atom
! Uncorrected formation energy   -0.484 eV/atom

=====

[5]
! BaAgAs2Se | the Alexandria database | PBE-GGA | relaxed; values from VASP
&SYSTEM
  ibrav = 0, nat = 5, ntyp = 4
/
ATOMIC_SPECIES
Ba 137.33 Ba.upf
Ag 107.87 Ag.upf
As 74.92 As.upf
Se 78.96 Se.upf
CELL_PARAMETERS angstrom
4.8808 0.0000 0.0000
0.0000 4.8808 0.0000
0.0000 0.0000 6.7605
ATOMIC_POSITIONS angstrom
Ba 0.0000 0.0000 0.0000
Ag 0.0000 0.0000 3.3802
As 0.0000 2.4404 3.3802
As 2.4404 0.0000 3.3802
Se 2.4404 2.4404 0.0000
! Density of states at the Fermi level   5.2 states/eV per cell
! Mass density   4.9 g/cm³
! E_tot   -3.498 eV per atom
! Uncorrected formation energy   0.014 eV/atom

=====

[6]
! BaAgAs2Se | the Alexandria database | PBE-GGA | relaxed; values from VASP
&SYSTEM
  ibrav = 0, nat = 5, ntyp = 4
/
ATOMIC_SPECIES
Ba 137.33 Ba.upf
Ag 107.87 Ag.upf
As 74.92 As.upf
Se 78.96 Se.upf
CELL_PARAMETERS angstrom
6.1099 0.0000 0.0000
0.0000 6.1099 0.0000
0.0000 0.0000 6.0363
ATOMIC_POSITIONS angstrom
Ba 0.0000 0.0000 0.0000
Ag 3.0549 3.0549 3.0182
As 0.0000 3.0549 0.0000
As 3.0549 0.0000 0.0000
Se 0.0000 0.0000 3.0182
! Density of states at the Fermi level   6.1 states/eV per cell
! Mass density   3.5 g/cm³
! E_tot   -2.539 eV per atom
! Uncorrected formation energy   0.973 eV/atom

=====

[7]
! BaAgAs2Se | the Alexandria database | PBE-GGA | relaxed; values from VASP
&SYSTEM
  ibrav = 0, nat = 5, ntyp = 4
/
ATOMIC_SPECIES
Ba 137.33 Ba.upf
Ag 107.87 Ag.upf
As 74.92 As.upf
Se 78.96 Se.upf
CELL_PARAMETERS angstrom
5.0721 0.0000 0.0000
0.0000 5.0721 0.0000
0.0000 0.0000 5.4025
ATOMIC_POSITIONS angstrom
Ba 0.0000 0.0000 0.0000
Ag 2.5360 2.5360 2.7012
As 0.0000 2.5360 2.7012
As 2.5360 0.0000 2.7012
Se 2.5360 2.5360 0.0000
! Density of states at the Fermi level   3.8 states/eV per cell
! Mass density   5.7 g/cm³
! E_tot   -3.708 eV per atom
! Uncorrected formation energy   -0.196 eV/atom

=====

[8]
! BaAgSnAs2 | the Alexandria database | PBE-GGA | relaxed; values from VASP
&SYSTEM
  ibrav = 0, nat = 10, ntyp = 4
/
ATOMIC_SPECIES
Ba 137.33 Ba.upf
Ag 107.87 Ag.upf
Sn 118.71 Sn.upf
As 74.92 As.upf
CELL_PARAMETERS angstrom
6.7142 -2.4613 0.0000
6.7142 2.4613 0.0000
-2.0107 0.0000 9.1238
ATOMIC_POSITIONS angstrom
Ba 1.8938 0.0000 1.8415
Ba 9.5238 0.0000 7.2823
Ag 0.7371 0.0000 5.1624
Ag 10.6805 0.0000 3.9614
Sn 5.4241 0.0000 2.6421
Sn 5.9935 0.0000 6.4817
As -0.2391 0.0000 7.6511
As 3.6691 0.0000 5.1323
As 7.7485 0.0000 3.9915
As 11.6567 0.0000 1.4726
! Density of states at the Fermi level   2.3 states/eV per cell
! Mass density   5.7 g/cm³
! E_tot   -4.023 eV per atom
! Energy relative to the elements   -0.41 eV per atom